Below is a relaxed YScNiGe crystal, with properties calculated at the GGA-PBE level.

Raw total energy: -5.85 eV per atom

Cell and atoms, written as CIF:
```
data_YScNiGe
_symmetry_space_group_name_H-M 'F -4 3 m'
_symmetry_Int_Tables_number 216
_symmetry_space_group_name_Hall 'F -4 2 3'
_cell_length_a 6.668
_cell_length_b 6.668
_cell_length_c 6.668
_cell_angle_alpha 90.00
_cell_angle_beta 90.00
_cell_angle_gamma 90.00
loop_
_atom_site_label
_atom_site_fract_x
_atom_site_fract_y
_atom_site_fract_z
Y1 0.000 0.000 0.000
Sc1 0.250 0.250 0.250
Ni1 0.250 0.250 0.750
Ge1 0.000 0.000 0.500
```

Below is a relaxed YSc2Ni4Ge4 crystal, with properties calculated at the GGA-PBE level.

Raw total energy: -6.21 eV per atom

Cell and atoms, written as CIF:
```
data_YSc2Ni4Ge4
_symmetry_space_group_name_H-M 'I m m m'
_symmetry_Int_Tables_number 71
_symmetry_space_group_name_Hall '-I 2 2'
_cell_length_a 3.941
_cell_length_b 6.738
_cell_length_c 13.061
_cell_angle_alpha 90.00
_cell_angle_beta 90.00
_cell_angle_gamma 90.00
loop_
_atom_site_label
_atom_site_fract_x
_atom_site_fract_y
_atom_site_fract_z
Y1 0.000 0.000 0.000
Sc1 0.000 0.500 0.127
Ni1 0.000 0.304 0.322
Ge1 0.000 0.000 0.223
Ge2 0.000 0.187 0.500
```

Below is a relaxed ScZnNiGe crystal, with properties calculated at the GGA-PBE level.

Raw total energy: -4.81 eV per atom
E above lowest polymorph: 0 meV per atom

Cell and atoms, written as CIF:
```
data_ScZnNiGe
_symmetry_space_group_name_H-M 'F -4 3 m'
_symmetry_Int_Tables_number 216
_symmetry_space_group_name_Hall 'F -4 2 3'
_cell_length_a 6.237
_cell_length_b 6.237
_cell_length_c 6.237
_cell_angle_alpha 90.00
_cell_angle_beta 90.00
_cell_angle_gamma 90.00
loop_
_atom_site_label
_atom_site_fract_x
_atom_site_fract_y
_atom_site_fract_z
Sc1 0.000 0.000 0.000
Zn1 0.250 0.250 0.750
Ni1 0.000 0.000 0.500
Ge1 0.250 0.250 0.250
```

Below is a relaxed ScZnNiGe crystal, with properties calculated at the GGA-PBE level.

Raw total energy: -4.79 eV per atom
E above lowest polymorph: 25 meV per atom

Cell and atoms, written as CIF:
```
data_ScZnNiGe
_symmetry_space_group_name_H-M 'F -4 3 m'
_symmetry_Int_Tables_number 216
_symmetry_space_group_name_Hall 'F -4 2 3'
_cell_length_a 6.239
_cell_length_b 6.239
_cell_length_c 6.239
_cell_angle_alpha 90.00
_cell_angle_beta 90.00
_cell_angle_gamma 90.00
loop_
_atom_site_label
_atom_site_fract_x
_atom_site_fract_y
_atom_site_fract_z
Sc1 0.000 0.000 0.000
Zn1 0.250 0.250 0.750
Ni1 0.250 0.250 0.250
Ge1 0.000 0.000 0.500
```

Below is a relaxed ScZnNiGe crystal, with properties calculated at the GGA-PBE level.

Raw total energy: -4.77 eV per atom
E above lowest polymorph: 41 meV per atom

Cell and atoms, written as CIF:
```
data_ScZnNiGe
_symmetry_space_group_name_H-M 'F -4 3 m'
_symmetry_Int_Tables_number 216
_symmetry_space_group_name_Hall 'F -4 2 3'
_cell_length_a 6.266
_cell_length_b 6.266
_cell_length_c 6.266
_cell_angle_alpha 90.00
_cell_angle_beta 90.00
_cell_angle_gamma 90.00
loop_
_atom_site_label
_atom_site_fract_x
_atom_site_fract_y
_atom_site_fract_z
Sc1 0.000 0.000 0.000
Zn1 0.000 0.000 0.500
Ni1 0.250 0.250 0.250
Ge1 0.250 0.250 0.750
```

Below is a relaxed ZrScNiGe crystal, with properties calculated at the GGA-PBE level.

Raw total energy: -6.31 eV per atom

Cell and atoms, written as CIF:
```
data_ZrScNiGe
_symmetry_space_group_name_H-M 'F -4 3 m'
_symmetry_Int_Tables_number 216
_symmetry_space_group_name_Hall 'F -4 2 3'
_cell_length_a 6.522
_cell_length_b 6.522
_cell_length_c 6.522
_cell_angle_alpha 90.00
_cell_angle_beta 90.00
_cell_angle_gamma 90.00
loop_
_atom_site_label
_atom_site_fract_x
_atom_site_fract_y
_atom_site_fract_z
Zr1 0.000 0.000 0.000
Sc1 0.250 0.250 0.250
Ni1 0.250 0.250 0.750
Ge1 0.000 0.000 0.500
```

Below is a relaxed Ni3Ge4Se crystal, with properties calculated at the GGA-PBE level.

Raw total energy: -4.97 eV per atom

Cell and atoms, written as CIF:
```
data_Ni3Ge4Se
_symmetry_space_group_name_H-M 'P 1 m 1'
_symmetry_Int_Tables_number 6
_symmetry_space_group_name_Hall 'P -2y'
_cell_length_a 5.018
_cell_length_b 3.684
_cell_length_c 7.086
_cell_angle_alpha 90.00
_cell_angle_beta 98.80
_cell_angle_gamma 90.00
loop_
_atom_site_label
_atom_site_fract_x
_atom_site_fract_y
_atom_site_fract_z
Ni1 0.000 0.000 0.000
Ni2 0.109 0.500 0.476
Ni3 0.607 0.500 0.445
Ge1 0.272 0.500 0.160
Ge2 0.391 0.000 0.580
Ge3 0.848 0.000 0.323
Ge4 0.918 0.500 0.761
Se1 0.523 0.000 0.940
```

Below is a relaxed NiGe2Se crystal, with properties calculated at the GGA-PBE level.

Raw total energy: -4.72 eV per atom

Cell and atoms, written as CIF:
```
data_NiGe2Se
_symmetry_space_group_name_H-M 'P m c 21'
_symmetry_Int_Tables_number 26
_symmetry_space_group_name_Hall 'P 2c -2'
_cell_length_a 3.809
_cell_length_b 8.321
_cell_length_c 5.065
_cell_angle_alpha 90.00
_cell_angle_beta 90.00
_cell_angle_gamma 90.00
loop_
_atom_site_label
_atom_site_fract_x
_atom_site_fract_y
_atom_site_fract_z
Ni1 0.000 0.020 0.000
Ge1 0.000 0.250 0.270
Ge2 0.500 0.093 0.739
Se1 0.500 0.371 0.545
```